(1)
ScPb2WCl | PBE | optimized geometry

a = 5.664 Å, b = 5.664 Å, c = 4.603 Å
α = 90.00°, β = 90.00°, γ = 90.00°
Space group P4/mmm (No. 123)
Unique sites:
Sc 0.000 0.000 0.000 [1 per cell]
Pb 0.000 0.500 0.000 [2 per cell]
W 0.500 0.500 0.500 [1 per cell]
Cl 0.000 0.000 0.500 [1 per cell]

DOS(E_F) = 7.134 states/eV/f.u.
Raw formation energy = 111 kJ/mol of atoms

(2)
FeW2Br | PBE | optimized geometry

a = 2.9060 Å, b = 2.9060 Å, c = 25.7310 Å
α = 90.00°, β = 90.00°, γ = 120.00°
Space group R-3m (No. 166, hexagonal axes)
Unique sites:
Fe 0.0000 0.0000 0.0000 [3 per cell]
W 0.0000 0.0000 0.2547 [6 per cell]
Br 0.0000 0.0000 0.5000 [3 per cell]

DOS(E_F) = 3.523 states/eV/f.u.
Energy relative to the lowest polymorph listed for this composition = 208.9 meV/atom
Raw formation energy = 74 kJ/mol of atoms

(3)
YAsSe2I | PBE | optimized geometry

a = 5.244 Å, b = 5.244 Å, c = 5.413 Å
α = 90.00°, β = 90.00°, γ = 90.00°
Space group P4/mmm (No. 123)
Unique sites:
Y 0.000 0.000 0.000 [1 per cell]
As 0.500 0.500 0.000 [1 per cell]
Se 0.000 0.500 0.500 [2 per cell]
I 0.500 0.500 0.500 [1 per cell]

DOS(E_F) = 1.607 states/eV/f.u.
Energy relative to the lowest polymorph listed for this composition = 369.8 meV/atom
Raw formation energy = 31 kJ/mol of atoms

(4)
H2BrCl | PBE | optimized geometry

a = 4.846 Å, b = 4.846 Å, c = 9.612 Å
α = 90.00°, β = 90.00°, γ = 90.00°
Space group I-42d (No. 122)
Unique sites:
H 0.154 0.250 0.125 [8 per cell]
Br 0.000 0.000 0.000 [4 per cell]
Cl 0.000 0.000 0.500 [4 per cell]

DOS(E_F) = 0.000 states/eV/f.u.
Energy relative to the lowest polymorph listed for this composition = 705.7 meV/atom

(5)
BBr2Cl | PBE | optimized geometry

a = 6.592 Å, b = 6.592 Å, c = 8.119 Å
α = 90.00°, β = 90.00°, γ = 90.00°
Space group I-42d (No. 122)
Unique sites:
B 0.000 0.000 0.000 [4 per cell]
Br 0.132 0.250 0.125 [8 per cell]
Cl 0.000 0.000 0.500 [4 per cell]

DOS(E_F) = 0.000 states/eV/f.u.
Energy relative to the lowest polymorph listed for this composition = 983.8 meV/atom
Raw formation energy = 32 kJ/mol of atoms

(6)
AcHfSc2 | PBE | optimized geometry

a = 3.4424 Å, b = 3.4424 Å, c = 32.4706 Å
α = 90.00°, β = 90.00°, γ = 120.00°
Space group R-3m (No. 166, hexagonal axes)
Unique sites:
Ac 0.0000 0.0000 0.0000 [3 per cell]
Hf 0.0000 0.0000 0.5000 [3 per cell]
Sc 0.0000 0.0000 0.2420 [6 per cell]

Energy of formation from the pure elements = 0.21 eV per atom
DOS(E_F) = 5.135 states/eV/f.u.
Energy relative to the lowest polymorph listed for this composition = 32.6 meV/atom